Here is an optimized crystal structure of ReNiRu from the Alexandria database. Energies are from PBE-GGA.

Energy relative to the lowest polymorph listed for this composition = 0 kJ/mol of formula units
Formation energy from the elements = -0.04 eV/f.u.
Final energy = -9.1809 eV per atom
DOS(E_F) = 0.92 states/eV/atom

Geometry as extended XYZ:
```
12
Lattice="8.0105 0.0000 0.0000 0.0000 4.6006 0.0000 -2.8511 0.0000 4.3332" Properties=species:S:1:pos:R:3 pbc="T T T"
Re 0.0000 0.3818 0.0000
Re -1.4256 4.2188 2.1666
Re 2.5797 1.9185 2.1666
Re 4.0052 2.6821 0.0000
Ni -0.0726 1.9038 2.1696
Ni 1.3530 2.6968 0.0030
Ni 5.3582 0.3965 0.0030
Ni 3.9327 4.2041 2.1696
Ru -0.1355 0.3901 4.3051
Ru 1.2900 4.2105 2.1385
Ru 5.2953 1.9102 2.1385
Ru 3.8697 2.6904 4.3051
```